# 1
A relaxed NpGeTe crystal, computed with GGA-PBE.

Results
crystal system: tetragonal
energy above the lowest structure with this stoichiometry: 0 meV per atom
total moment: 3.35 μB/f.u.

Cell lengths 4.130, 4.130, 9.140 Å; angles 103.06, 103.06, 90.00 degrees
Last column: magnetic moment on the atom in μB.
Element x y z (fractional)
Ge  0.000  0.500  0.000  -0.07
Te  0.818  0.818  0.635  -0.12
Ge  0.500  0.000  0.000  -0.07
Te  0.182  0.182  0.365  -0.12
Np  0.626  0.626  0.251  3.48
Np  0.374  0.374  0.749  3.48


# 2
A relaxed NpTl3Ge2Te6 crystal, computed with GGA-PBE.

Results
crystal system: monoclinic
total moment: 2.11 μB/f.u.
DFT total energy: -51.7 eV per cell

Cell lengths 7.661, 7.661, 8.287 Å; angles 98.84, 98.84, 119.92 degrees
Last column: magnetic moment on the atom in μB.
Element x y z (fractional)
Te  0.262  0.262  0.794  -0.11
Te  0.933  0.601  0.797  -0.11
Tl  0.167  0.833  0.500  -0.02
Tl  0.500  0.500  0.500  -0.02
Ge  0.666  0.334  0.000  -0.02
Np  0.000  0.000  0.000  3.29
Tl  0.833  0.167  0.500  -0.02
Te  0.399  0.067  0.203  -0.11
Ge  0.334  0.666  0.000  -0.02
Te  0.601  0.933  0.797  -0.11
Te  0.067  0.399  0.203  -0.11
Te  0.738  0.738  0.206  -0.11


D(E_F): 3.05 0.83 (states/eV per atom)